1.
! NdTm3Se6 | Alexandria | PBE-GGA | relaxed; values from VASP
! Raw formation energy (meV/atom): -1874.8
! SG: P2_1/m, No. 11
&SYSTEM
  ibrav = 0, nat = 20, ntyp = 3
/
ATOMIC_SPECIES
Se 78.96 Se.upf
Tm 168.93 Tm.upf
Nd 144.24 Nd.upf
ATOMIC_POSITIONS crystal
Se 0.250 0.520 0.386
Se 0.250 0.083 0.907
Se 0.750 0.917 0.093
Se 0.250 0.882 0.534
Se 0.750 0.480 0.614
Se 0.750 0.802 0.750
Se 0.250 0.607 0.941
Se 0.750 0.737 0.273
Se 0.250 0.198 0.250
Se 0.750 0.118 0.466
Se 0.250 0.263 0.727
Se 0.750 0.393 0.059
Tm 0.250 0.319 0.500
Tm 0.250 0.841 0.914
Tm 0.750 0.159 0.086
Tm 0.250 0.561 0.166
Tm 0.750 0.681 0.500
Tm 0.750 0.439 0.834
Nd 0.250 0.952 0.304
Nd 0.750 0.048 0.696
CELL_PARAMETERS angstrom
4.104 0.000 0.000
0.000 11.529 -0.016
0.000 -3.869 11.156

***

2.
! V5Fe6Ni | Alexandria | PBE-GGA | relaxed; values from VASP
! SG: Immm, No. 71
! Calculated formation energy (meV per atom): -113
&SYSTEM
  ibrav = 0, nat = 12, ntyp = 3
/
ATOMIC_SPECIES
Fe 55.84 Fe.upf
V 50.94 V.upf
Ni 58.69 Ni.upf
ATOMIC_POSITIONS crystal
Fe 0.265 0.095 0.434
Fe 0.225 0.725 0.725
Fe 0.735 0.905 0.566
Fe 0.775 0.275 0.275
Fe 0.735 0.566 0.905
Fe 0.265 0.434 0.095
V 0.500 0.147 0.853
V 0.000 0.676 0.324
V 0.000 0.324 0.676
V 0.500 0.500 0.500
V 0.500 0.853 0.147
Ni 0.000 0.000 0.000
CELL_PARAMETERS angstrom
-1.915 -1.670 -3.026
5.476 3.221 -2.663
1.196 -5.002 4.583

***

3.
! ReNiAg3 | Alexandria | PBE-GGA | relaxed; values from VASP
! Polymorph energy (0 for the lowest one) (meV/atom): 0
! SG: Pm-3m, No. 221
! Calculated formation energy (meV per atom): 1630
&SYSTEM
  ibrav = 0, nat = 5, ntyp = 3
/
ATOMIC_SPECIES
Ag 107.87 Ag.upf
Re 186.21 Re.upf
Ni 58.69 Ni.upf
ATOMIC_POSITIONS crystal
Ag 0.000 0.500 0.000
Ag 0.000 0.000 0.500
Ag 0.500 0.000 0.000
Re 0.500 0.500 0.500
Ni 0.000 0.000 0.000
CELL_PARAMETERS angstrom
-4.274 -1.776 0.830
0.368 -2.683 -3.844
1.925 -3.429 2.578

***

4.
! Be2AgSb | Alexandria | PBE-GGA | relaxed; values from VASP
! Raw formation energy (meV/atom): 520.6
! SG: R-3m, No. 166
&SYSTEM
  ibrav = 0, nat = 4, ntyp = 3
/
ATOMIC_SPECIES
Be 9.01 Be.upf
Sb 121.76 Sb.upf
Ag 107.87 Ag.upf
ATOMIC_POSITIONS crystal
Be 0.496 0.496 0.496
Be 0.004 0.004 0.004
Sb 0.250 0.250 0.250
Ag 0.750 0.750 0.750
CELL_PARAMETERS angstrom
7.681 -0.054 -0.032
7.058 3.031 -0.032
7.058 1.425 2.675

***

5.
! Nd4Sm2DyTm | Alexandria | PBE-GGA | relaxed; values from VASP
! SG: P2/m, No. 10
! Calculated formation energy (meV per atom): 15
&SYSTEM
  ibrav = 0, nat = 8, ntyp = 4
/
ATOMIC_SPECIES
Sm 150.36 Sm.upf
Tm 168.93 Tm.upf
Nd 144.24 Nd.upf
Dy 162.50 Dy.upf
ATOMIC_POSITIONS crystal
Sm 0.000 0.000 0.000
Sm 0.500 0.000 0.500
Tm 0.000 0.500 0.500
Nd 0.500 0.250 0.750
Nd 0.000 0.752 0.749
Nd 0.500 0.750 0.250
Nd 0.000 0.248 0.251
Dy 0.500 0.500 0.000
CELL_PARAMETERS angstrom
5.156 0.000 0.000
0.000 5.020 1.066
0.000 2.919 11.025

***

6.
! Y2Ga3CuPd4 | Alexandria | PBE-GGA | relaxed; values from VASP
! SG: P-4m2, No. 115
! Calculated formation energy (meV per atom): -714
&SYSTEM
  ibrav = 0, nat = 10, ntyp = 4
/
ATOMIC_SPECIES
Ga 69.72 Ga.upf
Y 88.91 Y.upf
Pd 106.42 Pd.upf
Cu 63.55 Cu.upf
ATOMIC_POSITIONS crystal
Ga 0.000 0.500 0.135
Ga 0.000 0.000 0.500
Ga 0.500 0.000 0.865
Y 0.500 0.000 0.262
Y 0.000 0.500 0.738
Pd 0.500 0.500 0.000
Pd 0.500 0.000 0.647
Pd 0.000 0.500 0.353
Pd 0.000 0.000 0.000
Cu 0.500 0.500 0.500
CELL_PARAMETERS angstrom
4.016 0.000 0.000
0.000 4.016 0.000
0.000 0.000 11.428

***

7.
! Sm2Ga3Pt2 | Alexandria | PBE-GGA | relaxed; values from VASP
! SG: Cmcm, No. 63
! Calculated formation energy (meV per atom): -885
&SYSTEM
  ibrav = 0, nat = 14, ntyp = 3
/
ATOMIC_SPECIES
Ga 69.72 Ga.upf
Pt 195.08 Pt.upf
Sm 150.36 Sm.upf
ATOMIC_POSITIONS crystal
Ga 0.228 0.750 0.456
Ga 0.442 0.578 0.884
Ga 0.772 0.250 0.544
Ga 0.558 0.422 0.116
Ga 0.558 0.078 0.116
Ga 0.442 0.922 0.884
Pt 0.312 0.051 0.625
Pt 0.688 0.551 0.375
Pt 0.312 0.449 0.625
Pt 0.688 0.949 0.375
Sm 0.842 0.750 0.684
Sm 0.158 0.250 0.316
Sm 0.934 0.250 0.868
Sm 0.066 0.750 0.132
CELL_PARAMETERS angstrom
4.005 0.000 -0.955
0.000 7.364 0.000
0.163 0.000 9.561

***

8.
! BaAc3Nd2Te6 | Alexandria | PBE-GGA | relaxed; values from VASP
! Raw formation energy (meV/atom): -1494.8
! SG: C2/m, No. 12
&SYSTEM
  ibrav = 0, nat = 12, ntyp = 4
/
ATOMIC_SPECIES
Ac 227.00 Ac.upf
Ba 137.33 Ba.upf
Nd 144.24 Nd.upf
Te 127.60 Te.upf
ATOMIC_POSITIONS crystal
Ac 0.837 0.173 0.674
Ac 0.500 0.500 0.000
Ac 0.163 0.827 0.326
Ba 0.500 0.000 0.000
Nd 0.171 0.343 0.341
Nd 0.829 0.657 0.659
Te 0.329 0.905 0.658
Te 0.332 0.424 0.663
Te 0.007 0.259 0.014
Te 0.668 0.576 0.337
Te 0.671 0.095 0.342
Te 0.993 0.741 0.986
CELL_PARAMETERS angstrom
4.673 0.000 0.000
0.000 9.429 0.342
-2.336 -2.714 9.843